VASP calculation (PBE) on crystalline KAg at its relaxed geometry.

Output
For the energy of formation, the calculation gives 2.0 kcal/mol of atoms. The value obtained for the distance to the lowest polymorph of the same formula is 70.9 meV/atom. The value obtained for the density of states at the Fermi level is 0.29 states/eV per atom.

Geometry as POSCAR:
```
KAg
1.0
11.4328 0.0000 0.0000
0.0000 10.5886 0.0000
0.0000 0.0000 7.0892
K Ag
12 12
direct
0.1169 0.0213 0.2500 K
0.1169 0.4787 0.7500 K
0.2890 0.6275 0.2500 K
0.2890 0.8725 0.7500 K
0.3817 0.2500 0.0000 K
0.3817 0.2500 0.5000 K
0.6183 0.7500 0.0000 K
0.6183 0.7500 0.5000 K
0.7110 0.1275 0.2500 K
0.7110 0.3725 0.7500 K
0.8831 0.5213 0.2500 K
0.8831 0.9787 0.7500 K
0.0373 0.7500 0.0000 Ag
0.0373 0.7500 0.5000 Ag
0.1343 0.1560 0.7500 Ag
0.1343 0.3440 0.2500 Ag
0.4261 0.5456 0.7500 Ag
0.4261 0.9544 0.2500 Ag
0.5739 0.0456 0.7500 Ag
0.5739 0.4544 0.2500 Ag
0.8657 0.6560 0.7500 Ag
0.8657 0.8440 0.2500 Ag
0.9627 0.2500 0.0000 Ag
0.9627 0.2500 0.5000 Ag
```